Here is a geometry-optimized Y2CdGa structure from Alexandria via LeMat-Bulk. Energies are from PBE.

Cell: 3.6400 3.6400 7.4273 Å, 90.00 90.00 90.00°
Last column: nearest neighbours and their distance in Å.
Space group P4/mmm (No. 123)
Unique sites:
Y (0.0000, 0.0000, 0.2356)  4 Ga 3.11, 4 Cd 3.24
Cd (0.5000, 0.5000, 0.5000)  8 Y 3.24
Ga (0.5000, 0.5000, 0.0000)  8 Y 3.11

Computed properties:
D(E_F) in states/eV per cell: 2.60
Raw total energy in eV per atom: -4.705
Theoretical density in g cm⁻³: 6.07